(1)
Material: LiSe2O6F
Method: DFT, PBE-GGA
State: optimized geometry

The crystal system is monoclinic. The value obtained for the energy is -4.80 eV/atom. Its uncorrected formation energy is -0.75 eV/atom. The calculation puts the calculated volume at 663.3 Å³ per cell.

It has space group C2/c (No. 15), with a = 14.3278 Å, b = 11.0084 Å, c = 4.3803 Å, α = 90.00°, β = 106.25° and γ = 90.00°. The distinct sites, in fractional coordinates, are Li at (0.0000, 0.0791, 0.2500), Se at (0.1745, 0.3928, 0.7198), O at (0.0815, 0.3092, 0.5602), O at (0.1559, 0.4453, 0.0902), O at (0.2130, 0.1453, 0.2243) and F at (0.0000, 0.0862, 0.7500).

(2)
Material: SrTaGeP2
Method: DFT, PBE-GGA
State: optimized geometry

The calculation puts the formation enthalpy at 0 K at -1.6 eV/f.u. The crystal system is tetragonal. The value obtained for the energy is -6.12 eV/atom. The calculation puts the calculated volume at 120.0 Å³ per cell.

It has space group P4/mmm (No. 123), with a = 4.8899 Å, b = 4.8899 Å, c = 5.0202 Å, α = 90.00°, β = 90.00° and γ = 90.00°. The distinct sites, in fractional coordinates, are Sr at (0.0000, 0.0000, 0.0000), Ta at (0.5000, 0.5000, 0.5000), Ge at (0.5000, 0.5000, 0.0000) and P at (0.0000, 0.5000, 0.5000).

(3)
Material: SmCdGe
Method: DFT, PBE-GGA
State: optimized geometry

The calculation puts the formation enthalpy at 0 K at -0.8 eV/f.u. The crystal system is tetragonal. The value obtained for the energy is -3.68 eV/atom. The calculation puts the calculated volume at 144.1 Å³ per cell.

It has space group I4mm (No. 107), with a = 3.4698 Å, b = 3.4698 Å, c = 11.9680 Å, α = 90.00°, β = 90.00° and γ = 90.00°. The distinct sites, in fractional coordinates, are Sm at (0.0000, 0.0000, 0.0000), Cd at (0.0000, 0.0000, 0.3085) and Ge at (0.0000, 0.0000, 0.6646).

(4)
Material: Sr2TcBr
Method: DFT, PBE-GGA
State: optimized geometry

The distance to the lowest polymorph of the same formula is 399 meV/atom. The crystal system is tetragonal. The value obtained for the energy is -3.62 eV/atom. Its uncorrected formation energy is 0.23 eV/atom. The calculation puts the calculated volume at 552.8 Å³ per cell.

It has space group I-42d (No. 122), with a = 8.1989 Å, b = 8.1989 Å, c = 8.2231 Å, α = 90.00°, β = 90.00° and γ = 90.00°. The distinct sites, in fractional coordinates, are Sr at (0.2461, 0.2500, 0.1250), Tc at (0.0000, 0.0000, 0.0000) and Br at (0.0000, 0.0000, 0.5000).

(5)
Material: PbC2Br
Method: DFT, PBE-GGA
State: optimized geometry

The distance to the lowest polymorph of the same formula is 428 meV/atom. The crystal system is cubic. The value obtained for the energy is -3.25 eV/atom. Its uncorrected formation energy is 2.70 eV/atom. The calculation puts the calculated volume at 267.4 Å³ per cell.

It has space group Fm-3m (No. 225), with a = 6.4424 Å, b = 6.4424 Å, c = 6.4424 Å, α = 90.00°, β = 90.00° and γ = 90.00°. The distinct sites, in fractional coordinates, are Pb at (0.0000, 0.0000, 0.0000), C at (0.2500, 0.2500, 0.2500) and Br at (0.0000, 0.0000, 0.5000).

(6)
Material: DyMgScTl
Method: DFT, PBE-GGA
State: optimized geometry

The calculation puts the formation enthalpy at 0 K at -0.8 eV/f.u. The crystal system is cubic. The value obtained for the energy is -3.93 eV/atom. The calculation puts the calculated volume at 396.5 Å³ per cell.

It has space group F-43m (No. 216), with a = 7.3467 Å, b = 7.3467 Å, c = 7.3467 Å, α = 90.00°, β = 90.00° and γ = 90.00°. The distinct sites, in fractional coordinates, are Dy at (0.0000, 0.0000, 0.0000), Mg at (0.2500, 0.2500, 0.2500), Sc at (0.0000, 0.0000, 0.5000) and Tl at (0.2500, 0.2500, 0.7500).

(7)
Material: CaSi2Sb
Method: DFT, PBE-GGA
State: optimized geometry

The crystal system is cubic. The value obtained for the energy is -3.99 eV/atom. Its uncorrected formation energy is 0.25 eV/atom. The calculation puts the calculated volume at 366.0 Å³ per cell.

It has space group F-43m (No. 216), with a = 7.1532 Å, b = 7.1532 Å, c = 7.1532 Å, α = 90.00°, β = 90.00° and γ = 90.00°. The distinct sites, in fractional coordinates, are Ca at (0.0000, 0.0000, 0.0000), Si at (0.0000, 0.0000, 0.5000), Si at (0.2500, 0.2500, 0.2500) and Sb at (0.2500, 0.2500, 0.7500).

(8)
Material: Ba2HgBr
Method: DFT, PBE-GGA
State: optimized geometry

The distance to the lowest polymorph of the same formula is 64 meV/atom. The crystal system is orthorhombic. The value obtained for the energy is -2.42 eV/atom. Its uncorrected formation energy is -0.97 eV/atom. The calculation puts the calculated volume at 314.0 Å³ per cell.

It has space group Amm2 (No. 38), with a = 5.5650 Å, b = 4.2333 Å, c = 13.3292 Å, α = 90.00°, β = 90.00° and γ = 90.00°. The distinct sites, in fractional coordinates, are Ba at (0.0000, 0.0000, 0.0000), Ba at (0.5000, 0.0000, 0.2503), Hg at (0.5000, 0.0000, 0.5171) and Br at (0.0000, 0.0000, 0.7467).

(9)
Material: Mn2CrIr2
Method: DFT, PBE-GGA
State: optimized geometry

The distance to the lowest polymorph of the same formula is 230 meV/atom. The calculation puts the formation enthalpy at 0 K at 1.7 eV/f.u. The crystal system is tetragonal. The value obtained for the energy is -8.80 eV/atom. The calculation puts the calculated volume at 133.5 Å³ per cell.

It has space group I4/mmm (No. 139), with a = 3.1221 Å, b = 3.1221 Å, c = 13.6997 Å, α = 90.00°, β = 90.00° and γ = 90.00°. The distinct sites, in fractional coordinates, are Mn at (0.0000, 0.5000, 0.2500), Cr at (0.0000, 0.0000, 0.0000) and Ir at (0.0000, 0.0000, 0.3998).

(10)
Material: Cu2SiNi
Method: DFT, PBE-GGA
State: optimized geometry

The crystal system is cubic. The value obtained for the energy is -5.02 eV/atom. Its uncorrected formation energy is -0.17 eV/atom. The calculation puts the calculated volume at 185.0 Å³ per cell.

It has space group F-43m (No. 216), with a = 5.6982 Å, b = 5.6982 Å, c = 5.6982 Å, α = 90.00°, β = 90.00° and γ = 90.00°. The distinct sites, in fractional coordinates, are Cu at (0.0000, 0.0000, 0.0000), Cu at (0.2500, 0.2500, 0.2500), Si at (0.2500, 0.2500, 0.7500) and Ni at (0.0000, 0.0000, 0.5000).

(11)
Material: LaCeTeO6
Method: DFT, PBE-GGA
State: optimized geometry

The crystal system is trigonal. The value obtained for the energy is -7.27 eV/atom. Its uncorrected formation energy is -2.41 eV/atom. The calculation puts the calculated volume at 287.9 Å³ per cell.

It has space group P-31c (No. 163), with a = 5.7731 Å, b = 5.7731 Å, c = 9.9737 Å, α = 90.00°, β = 90.00° and γ = 120.00°. The distinct sites, in fractional coordinates, are La at (0.0000, 0.0000, 0.0000), Ce at (0.3333, 0.6667, 0.2500), Te at (0.3333, 0.6667, 0.7500) and O at (0.0318, 0.3708, 0.6390).

(12)
Material: PuTh2Hg
Method: DFT, PBE-GGA
State: optimized geometry

The distance to the lowest polymorph of the same formula is 128 meV/atom. The calculation puts the formation enthalpy at 0 K at 0.2 eV/f.u. The crystal system is trigonal. The value obtained for the energy is -7.32 eV/atom. The calculation puts the calculated volume at 351.5 Å³ per cell.

It has space group R3m (No. 160, hexagonal axes), with a = 3.5723 Å, b = 3.5723 Å, c = 31.8091 Å, α = 90.00°, β = 90.00° and γ = 120.00°. The distinct sites, in fractional coordinates, are Pu at (0.0000, 0.0000, 0.0000), Th at (0.0000, 0.0000, 0.2482), Th at (0.0000, 0.0000, 0.4161) and Hg at (0.0000, 0.0000, 0.8318).

Question: Look up the calculated volume of the twelfth one.
Answer: 351.5 Å³ per cell

Question: Look up the energy of the fifth one.
Answer: -3.25 eV/atom